# 1
Computed, not measured: a relaxed structure of CrGeBr4 at the PBE level of DFT.

- Uncorrected formation energy: -3.46 eV/f.u.
- Calculated total energy: -4.07 eV per atom

Lattice parameters (Å, degrees): 4.060 6.812 13.553 92.20 90.00 90.00
Each line ends with the local moment (μB).
Fractional positions:
Cr: 0.500 0.500 0.000  3.64
Cr: 0.000 0.000 0.500  3.64
Br: 0.916 0.653 0.885  0.00
Br: 0.499 0.814 0.111  -0.02
Br: 0.001 0.314 0.611  -0.02
Br: 0.501 0.186 0.889  -0.02
Br: 0.999 0.686 0.389  -0.02
Br: 0.416 0.847 0.615  0.00
Br: 0.084 0.347 0.115  0.00
Br: 0.584 0.153 0.385  0.00
Ge: 0.500 0.500 0.500  0.02
Ge: 0.000 0.000 0.000  0.02

# 2
Computed, not measured: a relaxed structure of Ba3Mg2Au4 at the PBE level of DFT.

- DFT formation energy: -0.6281 eV/atom
- Calculated total energy: -3.08 eV per atom

Lattice parameters (Å, degrees): 4.750 6.823 9.602 111.21 90.00 110.37
Fractional positions:
Mg: 0.319 0.637 0.649
Mg: 0.681 0.363 0.351
Ba: 0.623 0.246 0.699
Ba: 0.000 0.000 0.000
Ba: 0.377 0.754 0.301
Au: 0.285 0.570 0.923
Au: 0.903 0.806 0.584
Au: 0.097 0.194 0.416
Au: 0.715 0.430 0.077

# 3
Computed, not measured: a relaxed structure of LiSnB at the PBE level of DFT.

- DFT formation energy: 0.0910 eV/atom
- Calculated total energy: -4.11 eV per atom
- E above lowest polymorph: 0.1810 eV per atom

Lattice parameters (Å, degrees): 4.612 3.946 5.816 90.00 78.82 90.00
Fractional positions:
B: 0.376 0.500 0.619
B: 0.624 0.500 0.381
Li: 0.167 0.500 0.265
Li: 0.833 0.500 0.735
Sn: 0.719 0.000 0.174
Sn: 0.281 0.000 0.826

# 4
Computed, not measured: a relaxed structure of Cu2Pb5Cl12 at the PBE level of DFT.

- Uncorrected formation energy: -18.31 eV/f.u.
- Calculated total energy: -3.54 eV per atom

Lattice parameters (Å, degrees): 7.765 8.696 9.489 106.14 90.00 116.52
Fractional positions:
Cu: 0.172 0.000 0.000
Cu: 0.828 0.000 0.000
Cl: 0.123 0.701 0.929
Cl: 0.578 0.701 0.929
Cl: 0.497 0.994 0.267
Cl: 0.090 0.683 0.417
Cl: 0.503 0.006 0.733
Cl: 0.407 0.317 0.583
Cl: 0.877 0.299 0.071
Cl: 0.593 0.683 0.417
Cl: 0.993 0.987 0.792
Cl: 0.007 0.013 0.208
Cl: 0.910 0.317 0.583
Cl: 0.422 0.299 0.071
Pb: 0.316 0.631 0.158
Pb: 0.682 0.365 0.337
Pb: 0.000 0.000 0.500
Pb: 0.684 0.369 0.842
Pb: 0.318 0.635 0.663

- Look up the calculated total energy of the second one.
  -3.08 eV per atom